An optimized crystal structure of Zr2AlMo, computed with GGA-PBE.

Cell and atoms, written as POSCAR:
```
Zr2AlMo
1.0
0.0000 3.3457 3.3457
3.3457 0.0000 3.3457
3.3457 3.3457 0.0000
Al Mo Zr
1 1 2
direct
0.5000 0.5000 0.5000
0.2500 0.2500 0.2500
0.0000 0.0000 0.0000
0.7500 0.7500 0.7500
```

Properties
- crystal system = cubic
- total magnetic moment (Bohr magnetons per cell) = 0.1
- DFT total energy (eV per atom) = -7.97